5
Lattice="5.413 0.000 0.000 0.000 5.413 0.000 0.000 0.000 5.413" Properties=species:S:1:pos:R:3 comment="YAlPb3, optimized geometry, DFT GGA-PBE" total_magnetization_mub_per_fu=0.00 pbc="T T T"
Y 0.000 0.000 0.000
Al 2.706 2.706 2.706
Pb 0.000 2.706 2.706
Pb 2.706 0.000 2.706
Pb 2.706 2.706 0.000

12
Lattice="3.381 0.000 0.000 -1.690 2.928 0.000 0.000 0.000 35.180" Properties=species:S:1:pos:R:3 comment="Th2ZnHg, optimized geometry, DFT GGA-PBE" total_magnetization_mub_per_fu=0.00 pbc="T T T"
Th 0.000 0.000 3.149
Th 0.000 0.000 32.032
Th 0.000 1.952 20.305
Th 0.000 1.952 26.602
Th 1.690 0.976 8.578
Th 1.690 0.976 14.875
Zn 0.000 0.000 0.000
Zn 0.000 1.952 23.453
Zn 1.690 0.976 11.727
Hg 0.000 0.000 17.590
Hg 0.000 1.952 5.863
Hg 1.690 0.976 29.317

20
Lattice="7.521 0.000 0.000 0.000 3.802 0.000 -1.625 0.000 8.263" Properties=species:S:1:pos:R:3 comment="FeCo6Ge3, optimized geometry, DFT GGA-PBE" total_magnetization_mub_per_fu=7.23 pbc="T T T"
Fe -0.288 0.951 3.303
Fe 6.184 2.852 4.960
Co -0.859 2.852 7.507
Co 0.624 2.852 1.879
Co 0.104 0.951 5.905
Co 1.133 2.852 4.243
Co 2.221 0.951 2.638
Co 3.104 2.852 0.839
Co 2.792 0.951 7.425
Co 3.675 2.852 5.626
Co 4.762 0.951 4.021
Co 5.792 2.852 2.358
Co 5.272 0.951 6.384
Co 6.755 0.951 0.757
Ge 1.551 0.951 0.382
Ge 1.373 2.852 6.729
Ge 2.411 0.951 5.017
Ge 3.485 2.852 3.247
Ge 4.523 0.951 1.534
Ge 4.344 2.852 7.882

| no. | raw total energy (eV/cell) | formation energy (eV/f.u.) |
| --- | --- | --- |
| 1 | -19.858 | 1.47 |
| 2 | -46.367 | 0.96 |
| 3 | -131.092 | -0.60 |